1.
{
  "formula": "InCo3",
  "functional": "GGA-PBE",
  "state": "relaxed",
  "cell": [[-5.631, 0.319, 6.171], [-3.792, -1.428, 7.312], [-3.412, 1.319, 7.517]],
  "species": ["In", "Co", "Co", "Co"],
  "frac_coords": [[0.000, 0.000, 0.000], [0.242, 0.242, 0.242], [0.500, 0.500, 0.500], [0.758, 0.758, 0.758]],
  "ef_ev_per_atom": 0.4083,
  "magnetic_moment_mub_per_cell": 4.602
}


2.
{
  "formula": "InCo2",
  "functional": "GGA-PBE",
  "state": "relaxed",
  "cell": [[-1.791, -0.508, -2.176], [-0.965, -0.073, 2.695], [-1.338, 6.068, -0.315]],
  "species": ["Co", "Co", "In"],
  "frac_coords": [[0.333, 0.667, 0.641], [0.667, 0.333, 0.359], [0.000, 0.000, 0.000]],
  "ef_ev_per_atom": 0.4062,
  "magnetic_moment_mub_per_cell": 2.949
}


Mass density values (in kg/m³) by entry order: 8810 8747.